Compound: OsCNO2
Source: Alexandria via LeMat-Bulk
Functional: GGA-PBEsol
Structure: optimized geometry

The structure belongs to space group P4/mmm (No. 123); the cell edges are 3.368, 3.368 and 3.379 Å and the angles 90.00°, 90.00° and 90.00°. The inequivalent atoms are Os at (0.000, 0.000, 0.000), C at (0.500, 0.500, 0.500), N at (0.500, 0.500, 0.000) and O at (0.000, 0.500, 0.500).

As for the calculated total energy: -32.981 eV/cell.